1.
DFT (GGA-PBE) results for crystalline ErInNiPt at its relaxed geometry.

Formation enthalpy at 0 K, eV/atom: -0.671
Total energy, eV per atom: -5.45
Density of states at the Fermi level, states/eV/f.u.: 3.17

a = 4.6945 Å, b = 4.6945 Å, c = 4.6945 Å
α = 60.00°, β = 60.00°, γ = 60.00°
Fractional coordinates of all 4 atoms:
In  0.0000  0.0000  0.0000
Er  0.5000  0.5000  0.5000
Pt  0.7500  0.7500  0.7500
Ni  0.2500  0.2500  0.2500

---

2.
DFT (GGA-PBE) results for crystalline CaSn3Te at its relaxed geometry.

Energy relative to the elements, uncorrected, eV per atom: 0.67
Polymorph energy (0 for the lowest one), meV/atom: 360.7
Total energy, eV per atom: -2.76
Density of states at the Fermi level, states/eV/f.u.: 4.85

a = 5.8212 Å, b = 5.8212 Å, c = 5.8212 Å
α = 90.00°, β = 90.00°, γ = 90.00°
Fractional coordinates of all 5 atoms:
Sn  0.0000  0.5000  0.0000
Te  0.5000  0.5000  0.5000
Ca  0.0000  0.0000  0.0000
Sn  0.0000  0.0000  0.5000
Sn  0.5000  0.0000  0.0000

---

3.
DFT (GGA-PBE) results for crystalline Ho5Lu3H12 at its relaxed geometry.

Total energy, eV per atom: -4.29
Density of states at the Fermi level, states/eV/f.u.: 7.97

a = 11.1380 Å, b = 11.1380 Å, c = 11.1380 Å
α = 109.47°, β = 109.47°, γ = 109.47°
Fractional coordinates of all 80 atoms:
H  0.9086  0.8436  0.5671
H  0.7765  0.3436  0.9350
Lu  0.6250  0.3750  0.7500
H  0.6585  0.5914  0.9350
Ho  0.6250  0.8750  0.2500
Ho  0.8750  0.2500  0.6250
H  0.2235  0.6564  0.0650
H  0.5671  0.2235  0.1585
Lu  0.1250  0.8750  0.7500
Ho  0.0000  0.5000  0.0000
H  0.0914  0.9350  0.1585
H  0.8436  0.9350  0.2765
H  0.6585  0.0671  0.2235
Ho  0.5000  0.0000  0.0000
H  0.3436  0.7765  0.4350
Lu  0.6250  0.2500  0.3750
H  0.8415  0.2765  0.4329
Lu  0.1250  0.2500  0.8750
H  0.7765  0.4329  0.3415
Lu  0.8750  0.1250  0.2500
H  0.9350  0.0914  0.6585
Ho  0.1250  0.3750  0.2500
H  0.5914  0.6585  0.4350
H  0.2765  0.8415  0.9329
Lu  0.2500  0.1250  0.3750
Ho  0.3750  0.2500  0.1250
Ho  0.5000  0.5000  0.0000
H  0.3415  0.9329  0.7765
H  0.0650  0.1564  0.2235
Ho  0.5000  0.0000  0.5000
H  0.2765  0.4350  0.8436
H  0.4350  0.2765  0.3436
H  0.0671  0.6585  0.7235
H  0.4350  0.1585  0.5914
H  0.4086  0.0671  0.3436
H  0.5650  0.7235  0.6564
Ho  0.0000  0.0000  0.5000
Lu  0.2500  0.6250  0.8750
Ho  0.6250  0.7500  0.8750
H  0.9329  0.3415  0.2765
Ho  0.0000  0.5000  0.5000
H  0.1564  0.0914  0.9329
Lu  0.3750  0.7500  0.6250
H  0.4329  0.7765  0.8415
H  0.8415  0.5650  0.9086
H  0.8436  0.9086  0.0671
H  0.5671  0.3436  0.9086
Lu  0.7500  0.8750  0.6250
H  0.3436  0.5671  0.4086
H  0.0671  0.4086  0.8436
H  0.9086  0.0650  0.8415
H  0.9350  0.8436  0.7765
H  0.1585  0.4350  0.0914
H  0.0914  0.1564  0.4329
Ho  0.2500  0.3750  0.6250
Ho  0.3750  0.1250  0.7500
H  0.3415  0.4086  0.0650
Ho  0.2500  0.8750  0.1250
H  0.7235  0.5650  0.1564
Ho  0.7500  0.1250  0.8750
H  0.4329  0.6564  0.0914
H  0.6564  0.2235  0.5650
H  0.0650  0.9086  0.3415
Ho  0.8750  0.6250  0.7500
H  0.1585  0.7235  0.5671
H  0.6564  0.4329  0.5914
H  0.1564  0.0650  0.7235
Lu  0.3750  0.6250  0.2500
H  0.7235  0.1585  0.0671
H  0.4086  0.3415  0.5650
H  0.5914  0.9329  0.6564
Ho  0.7500  0.6250  0.3750
Ho  0.0000  0.0000  0.0000
Ho  0.1250  0.7500  0.3750
Lu  0.7500  0.3750  0.1250
Lu  0.8750  0.7500  0.1250
H  0.2235  0.5671  0.6585
H  0.5650  0.8415  0.4086
Ho  0.5000  0.5000  0.5000
H  0.9329  0.5914  0.1564

---

4.
DFT (GGA-PBE) results for crystalline InSeN2F at its relaxed geometry.

Energy relative to the elements, uncorrected, eV per atom: 1.72
Polymorph energy (0 for the lowest one), meV/atom: 972.2
Total energy, eV per atom: -3.23
Density of states at the Fermi level, states/eV/f.u.: 2.04

a = 4.7435 Å, b = 4.7435 Å, c = 4.0222 Å
α = 90.00°, β = 90.00°, γ = 90.00°
Fractional coordinates of all 5 atoms:
In  0.5000  0.5000  0.5000
Se  0.0000  0.0000  0.5000
N  0.0000  0.5000  0.0000
F  0.0000  0.0000  0.0000
N  0.5000  0.0000  0.0000

---

5.
DFT (GGA-PBE) results for crystalline NaMg2Zn at its relaxed geometry.

Formation enthalpy at 0 K, eV/atom: 0.115
Total energy, eV per atom: -1.33
Density of states at the Fermi level, states/eV/f.u.: 1.37

a = 3.1597 Å, b = 3.1597 Å, c = 10.9909 Å
α = 81.74°, β = 81.74°, γ = 60.00°
Fractional coordinates of all 4 atoms:
Zn  0.5000  0.5000  0.5000
Na  0.0000  0.0000  0.0000
Mg  0.0974  0.0974  0.7079
Mg  0.9026  0.9026  0.2921

---

6.
DFT (GGA-PBE) results for crystalline Cs2HoAg2Se4 at its relaxed geometry.

Energy relative to the elements, uncorrected, eV per atom: -1.02
Total energy, eV per atom: -3.90
Density of states at the Fermi level, states/eV/f.u.: 4.65

a = 4.2303 Å, b = 8.6073 Å, c = 8.1969 Å
α = 107.12°, β = 104.95°, γ = 90.00°
Fractional coordinates of all 9 atoms:
Ag  0.6797  0.9807  0.3594
Ag  0.3203  0.0193  0.6406
Se  0.5135  0.7786  0.0269
Ho  0.0000  0.0000  0.0000
Cs  0.1320  0.5634  0.2641
Se  0.4865  0.2214  0.9731
Cs  0.8680  0.4366  0.7359
Se  0.8089  0.8233  0.6178
Se  0.1911  0.1767  0.3822

---

7.
DFT (GGA-PBE) results for crystalline La12Ru2Pt5 at its relaxed geometry.

Formation enthalpy at 0 K, eV/atom: -0.711
Total energy, eV per atom: -6.39
Density of states at the Fermi level, states/eV/f.u.: 17.37

a = 7.6740 Å, b = 9.4932 Å, c = 9.2398 Å
α = 104.61°, β = 114.54°, γ = 90.00°
Fractional coordinates of all 19 atoms:
Pt  0.6987  0.3601  0.3974
La  0.0952  0.9066  0.6600
La  0.5648  0.9066  0.6600
La  0.9048  0.0934  0.3400
Pt  0.6888  0.8307  0.3776
La  0.0106  0.8064  0.0211
La  0.0917  0.4319  0.6937
Pt  0.0000  0.5000  0.0000
La  0.5023  0.7588  0.0045
Pt  0.3013  0.6399  0.6026
La  0.9083  0.5681  0.3063
Ru  0.2858  0.0000  0.0000
Pt  0.3112  0.1693  0.6224
La  0.9894  0.1936  0.9789
La  0.4977  0.2412  0.9955
La  0.4352  0.0934  0.3400
La  0.3980  0.5681  0.3063
La  0.6020  0.4319  0.6937
Ru  0.7142  0.0000  0.0000

---

8.
DFT (GGA-PBE) results for crystalline CsPuCuO5 at its relaxed geometry.

Energy relative to the elements, uncorrected, eV per atom: -1.71
Total energy, eV per atom: -7.22
Density of states at the Fermi level, states/eV/f.u.: 0.71

a = 6.7156 Å, b = 6.7156 Å, c = 7.8453 Å
α = 115.03°, β = 115.03°, γ = 101.40°
Fractional coordinates of all 16 atoms:
Cs  0.6596  0.3404  0.7500
Pu  0.0000  0.0000  0.5000
O  0.7315  0.0667  0.3381
Pu  0.0000  0.0000  0.0000
Cu  0.7011  0.2989  0.2500
O  0.0667  0.7315  0.8381
O  0.9333  0.2685  0.1619
Cu  0.2989  0.7011  0.7500
O  0.3658  0.2145  0.1835
O  0.2685  0.9333  0.6619
O  0.9283  0.0717  0.7500
O  0.7855  0.6342  0.3165
Cs  0.3404  0.6596  0.2500
O  0.6342  0.7855  0.8165
O  0.2145  0.3658  0.6835
O  0.0717  0.9283  0.2500